Here is a PBEsol-optimized structure of CrRhCl2 from the Alexandria database. Energies are from meta-GGA SCAN.

a = 3.424 Å, b = 3.507 Å, c = 6.277 Å
α = 90.00°, β = 90.16°, γ = 90.00°
Space group Pm (No. 6)
One atom of each set of equivalent atoms:
Cr  0.000  0.000  0.000 (multiplicity 1)
Rh  0.498  0.500  0.130 (multiplicity 1)
Cl  0.233  0.500  0.783 (multiplicity 1)
Cl  0.744  0.000  0.355 (multiplicity 1)

Crystal system: monoclinic
Formation energy (no corrections) in eV/f.u.: -1.7
Calculated density in g/cm3: 4.97

=====

Here is a PBEsol-optimized structure of CuIrN2F from the Alexandria database. Energies are from meta-GGA SCAN.

a = 3.739 Å, b = 3.739 Å, c = 4.430 Å
α = 90.00°, β = 90.00°, γ = 90.00°
Space group P4/mmm (No. 123)
One atom of each set of equivalent atoms:
Cu  0.000  0.000  0.000 (multiplicity 1)
Ir  0.500  0.500  0.500 (multiplicity 1)
N  0.000  0.500  0.500 (multiplicity 2)
F  0.500  0.500  0.000 (multiplicity 1)

Crystal system: tetragonal
Formation energy (no corrections) in eV/f.u.: 3.5
Calculated density in g/cm3: 8.12

=====

Here is a PBEsol-optimized structure of InRhSe2 from the Alexandria database. Energies are from meta-GGA SCAN.

a = 4.813 Å, b = 3.685 Å, c = 5.261 Å
α = 90.00°, β = 116.25°, γ = 90.00°
Space group P2/m (No. 10)
One atom of each set of equivalent atoms:
In  0.000  0.000  0.000 (multiplicity 1)
Rh  0.500  0.000  0.500 (multiplicity 1)
Se  0.289  0.500  0.667 (multiplicity 2)

Crystal system: monoclinic
Formation energy (no corrections) in eV/f.u.: -1.5
Calculated density in g/cm3: 7.45

=====

Here is a PBEsol-optimized structure of Mn2AlRh from the Alexandria database. Energies are from meta-GGA SCAN.

a = 2.6467 Å, b = 2.6467 Å, c = 24.2136 Å
α = 90.00°, β = 90.00°, γ = 120.00°
Space group R3m (No. 160, hexagonal axes)
One atom of each set of equivalent atoms:
Mn  0.0000  0.0000  0.0000 (multiplicity 3)
Mn  0.0000  0.0000  0.2578 (multiplicity 3)
Al  0.0000  0.0000  0.7512 (multiplicity 3)
Rh  0.0000  0.0000  0.5042 (multiplicity 3)

Crystal system: trigonal
Calculated density in g/cm3: 8.13
ΔE_f in meV per atom: -275.4